No. 1
BaPmHg6: relaxed, GGA-PBE.

* total moment: 0.00 μB/f.u.
* N(E_F): 4.1 states/eV/f.u.
* final energy: -1.4397 eV/atom
* formation energy from the elements: -0.379 eV per atom
* space group: Pmm2, No. 25

Cell lengths 5.301, 7.226, 5.818 Å; angles 90.00, 90.00, 90.00 degrees
Element x y z (fractional)
Ba  0.000  0.000  0.000
Pm  0.500  0.500  0.302
Hg  0.000  0.274  0.488
Hg  0.000  0.500  0.982
Hg  0.000  0.726  0.488
Hg  0.500  0.000  0.399
Hg  0.500  0.276  0.820
Hg  0.500  0.724  0.820

No. 2
KBa2Hg2: relaxed, GGA-PBE.

* total moment: 0.00 μB/f.u.
* N(E_F): 5.1 states/eV/f.u.
* final energy: -1.4084 eV/atom
* formation energy from the elements: -0.299 eV per atom
* space group: P4/mbm, No. 127

Cell lengths 10.046, 10.046, 4.079 Å; angles 90.00, 90.00, 90.00 degrees
Element x y z (fractional)
K  0.000  0.000  0.000
K  0.500  0.500  0.000
Ba  0.139  0.361  0.000
Ba  0.361  0.861  0.000
Ba  0.639  0.139  0.000
Ba  0.861  0.639  0.000
Hg  0.153  0.653  0.500
Hg  0.347  0.153  0.500
Hg  0.653  0.847  0.500
Hg  0.847  0.347  0.500

No. 3
Ac3La3TlSn2: relaxed, GGA-PBE.

* total moment: 0.00 μB/f.u.
* N(E_F): 11.9 states/eV/f.u.
* final energy: -4.5960 eV/atom
* formation energy from the elements: -0.432 eV per atom
* space group: P-62m, No. 189

Cell lengths 9.048, 9.048, 4.559 Å; angles 90.00, 90.00, 120.00 degrees
Element x y z (fractional)
Ac  0.000  0.728  0.000
Ac  0.272  0.272  0.000
Ac  0.728  0.000  0.000
La  0.000  0.412  0.500
La  0.412  0.000  0.500
La  0.588  0.588  0.500
Tl  0.000  0.000  0.500
Sn  0.333  0.667  0.000
Sn  0.667  0.333  0.000

No. 4
CaCd5O6: relaxed, GGA-PBE.

* total moment: 0.00 μB/f.u.
* N(E_F): 1.3 states/eV/f.u.
* final energy: -4.3814 eV/atom
* ΔE_f (raw): -1.354 eV per atom
* space group: C2/m, No. 12

Cell lengths 5.866, 5.866, 5.865 Å; angles 99.59, 99.59, 119.99 degrees
Element x y z (fractional)
Ca  0.000  0.000  0.000
Cd  0.169  0.831  0.500
Cd  0.334  0.666  0.000
Cd  0.500  0.500  0.500
Cd  0.666  0.334  0.000
Cd  0.831  0.169  0.500
O  0.083  0.417  0.248
O  0.250  0.250  0.748
O  0.417  0.083  0.248
O  0.583  0.917  0.752
O  0.750  0.750  0.252
O  0.917  0.583  0.752

No. 5
VSiAs2: relaxed, GGA-PBE.

* total moment: 3.00 μB/f.u.
* N(E_F): 0.9 states/eV/f.u.
* final energy: -5.8784 eV/atom
* ΔE_f (raw): 0.082 eV per atom
* space group: I-42d, No. 122

Cell lengths 6.698, 6.698, 6.698 Å; angles 128.18, 128.18, 76.34 degrees
Element x y z (fractional)
V  0.000  0.000  0.000
V  0.750  0.250  0.500
Si  0.250  0.750  0.500
Si  0.500  0.500  0.000
As  0.144  0.625  0.019
As  0.375  0.394  0.519
As  0.606  0.125  0.981
As  0.875  0.856  0.481

No. 6
Ac8Ru2O: relaxed, GGA-PBE.

* total moment: 0.00 μB/f.u.
* N(E_F): 10.8 states/eV/f.u.
* final energy: -5.6073 eV/atom
* ΔE_f (raw): -0.482 eV per atom
* space group: C2/m, No. 12

Cell lengths 8.060, 8.060, 6.300 Å; angles 91.48, 91.48, 72.63 degrees
Element x y z (fractional)
Ac  0.106  0.698  0.765
Ac  0.178  0.178  0.752
Ac  0.302  0.894  0.235
Ac  0.379  0.379  0.290
Ac  0.621  0.621  0.710
Ac  0.698  0.106  0.765
Ac  0.822  0.822  0.248
Ac  0.894  0.302  0.235
Ru  0.406  0.406  0.820
Ru  0.594  0.594  0.180
O  0.000  0.000  0.000